Record 1
An optimized crystal structure of AcY2Tl2Hg2. Source: Alexandria via LeMat-Bulk, functional PBE.

For the formation energy, the calculation gives -0.27 eV per atom. The final energy comes out at -0.127 hartree per atom. As for the magnetization: 0.0 μB per cell.

The structure belongs to space group R-3m (No. 166, hexagonal axes); the cell edges are 5.0717, 5.0717 and 27.8914 Å and the angles 90.00°, 90.00° and 120.00°. The inequivalent atoms are Ac at (0.0000, 0.0000, 0.0000), Y at (0.0000, 0.0000, 0.1348), Tl at (0.0000, 0.0000, 0.2640) and Hg at (0.0000, 0.0000, 0.4403).


Record 2
An optimized crystal structure of NbCu2. Source: Alexandria via LeMat-Bulk, functional PBE.

For the formation energy, the calculation gives 0.10 eV per atom. The final energy comes out at -0.220 hartree per atom. As for the magnetization: 8.0 μB per cell.

The structure belongs to space group Fd-3m (No. 227, origin choice 2); the cell edges are 6.953, 6.953 and 6.953 Å and the angles 90.00°, 90.00° and 90.00°. The inequivalent atoms are Nb at (0.125, 0.125, 0.125) and Cu at (0.000, 0.000, 0.500).


Record 3
An optimized crystal structure of Be2IrAu. Source: Alexandria via LeMat-Bulk, functional PBE.

For the formation energy, the calculation gives 0.16 eV per atom. The final energy comes out at -0.174 hartree per atom. As for the magnetization: 0.0 μB per cell.

The structure belongs to space group R3m (No. 160, hexagonal axes); the cell edges are 2.7509, 2.7509 and 24.1583 Å and the angles 90.00°, 90.00° and 120.00°. The inequivalent atoms are Be at (0.0000, 0.0000, 0.0000), Be at (0.0000, 0.0000, 0.2567), Ir at (0.0000, 0.0000, 0.5197) and Au at (0.0000, 0.0000, 0.7471).


Record 4
An optimized crystal structure of Ni2SbRh. Source: Alexandria via LeMat-Bulk, functional PBE.

The final energy comes out at -0.216 hartree per atom. As for the magnetization: 0.0 μB per cell. The formation energy (no corrections) is -0.105 eV per atom.

The structure belongs to space group I4/mmm (No. 139); the cell edges are 3.915, 3.915 and 7.293 Å and the angles 90.00°, 90.00° and 90.00°. The inequivalent atoms are Ni at (0.000, 0.500, 0.250), Sb at (0.000, 0.000, 0.000) and Rh at (0.000, 0.000, 0.500).